## LaBi2WO8 (PBE+U)

Data for a relaxed LaBi2WO8 crystal.

Structure (CIF):
```
data_LaBi2WO8
_space_group_name_H-M_alt 'P 1 2/m 1'
_space_group_IT_number 10
_space_group_name_Hall '-P 2y'
_cell_length_a 5.183
_cell_length_b 7.024
_cell_length_c 5.192
_cell_angle_alpha 90.00
_cell_angle_beta 90.73
_cell_angle_gamma 90.00
loop_
_atom_site_label
_atom_site_type_symbol
_atom_site_fract_x
_atom_site_fract_y
_atom_site_fract_z
La1 La 0.000 0.000 0.000
Bi1 Bi 0.500 0.257 0.500
W1 W 0.000 0.500 0.000
O1 O 0.182 0.293 0.180
O2 O 0.266 0.500 0.733
O3 O 0.318 0.000 0.680
```

DFT total energy: -82.3 eV per cell
density: 7.6 g/cm3